No. 1
A plane-wave DFT calculation with PBE-GGA was carried out for a geometry-optimized TlInHgSe structure.

Output
Uncorrected energy = -0.175 Ry per atom
E_form (uncorrected) = -15.3 kJ/mol of atoms

Structure (POSCAR):
```
TlInHgSe
1.0
5.464 0.000 0.000
2.732 4.732 0.000
2.732 1.577 4.462
In Hg Se Tl
1 1 1 1
direct
0.000 0.000 0.000
0.750 0.750 0.750
0.250 0.250 0.250
0.500 0.500 0.500
```

No. 2
A plane-wave DFT calculation with PBE-GGA was carried out for a geometry-optimized ZrInHgSe2 structure.

Output
Uncorrected energy = -0.228 Ry per atom
E_form (uncorrected) = 59.3 kJ/mol of atoms

Structure (POSCAR):
```
ZrInHgSe2
1.0
5.277 0.000 0.000
0.000 5.668 0.000
0.000 0.000 5.277
Se Zr Hg In
2 1 1 1
direct
0.500 0.000 0.000
0.000 0.000 0.500
0.000 0.500 0.000
0.500 0.500 0.500
0.000 0.000 0.000
```